Compound: Nb2TlHg
Source: the Alexandria database
Functional: PBE
Structure: relaxed

## Properties
- Space-group type: I-42d, No. 122
- Energy: -5.01 eV per atom
- Calculated formation energy: 695 meV per atom

Cell and atoms, written as POSCAR:
```
Nb2TlHg
1.0
-3.857 3.857 2.926
3.857 -3.857 2.926
3.857 3.857 -2.926
Nb Tl Hg
4 2 2
Direct
0.122 0.125 0.497
0.375 0.878 0.003
0.628 0.625 0.503
0.875 0.372 0.997
0.250 0.750 0.500
0.500 0.500 0.000
0.000 0.000 0.000
0.750 0.250 0.500
```